1.
DFT (PBE) results for an optimized crystal structure of Sr4FeSb.

a = 9.827 Å, b = 9.827 Å, c = 9.827 Å
α = 90.00°, β = 90.00°, γ = 90.00°
Space group F-43m (No. 216)
Asymmetric unit:
Sr 0.125 0.125 0.125
Fe 0.250 0.250 0.750
Sb 0.000 0.000 0.500

Computed properties:
* E_form (uncorrected): 394 kJ/mol of formula units

***

2.
DFT (PBE) results for an optimized crystal structure of Hg5As2Cl2.

a = 13.060 Å, b = 5.735 Å, c = 7.248 Å
α = 90.00°, β = 102.02°, γ = 90.00°
Space group C2/m (No. 12)
Asymmetric unit:
Hg 0.000 0.000 0.000
Hg 0.099 0.500 0.422
Hg 0.201 0.000 0.775
As 0.085 0.000 0.441
Cl 0.160 0.500 0.929

Computed properties:
* E_form (uncorrected): -153 kJ/mol of formula units
* energy above the most stable polymorph in this dataset: 0 meV/atom

***

3.
DFT (PBE) results for an optimized crystal structure of K2BaZr.

a = 7.615 Å, b = 14.496 Å, c = 3.723 Å
α = 90.00°, β = 116.28°, γ = 90.00°
Space group C2/m (No. 12)
Asymmetric unit:
K 0.250 0.250 0.000
Ba 0.000 0.000 0.500
Zr 0.000 0.500 0.500

Computed properties:
* DFT formation energy: 0.7570 eV per atom
* energy above the most stable polymorph in this dataset: 175 meV/atom

***

4.
DFT (PBE) results for an optimized crystal structure of Y2Be2Ir.

a = 6.618 Å, b = 6.618 Å, c = 4.031 Å
α = 90.00°, β = 90.00°, γ = 90.00°
Space group P4/mbm (No. 127)
Asymmetric unit:
Y 0.188 0.312 0.000
Be 0.115 0.615 0.500
Ir 0.000 0.000 0.500

Computed properties:
* DFT formation energy: -0.2308 eV per atom

***

5.
DFT (PBE) results for an optimized crystal structure of AcCePt4.

a = 7.888 Å, b = 7.888 Å, c = 7.888 Å
α = 90.00°, β = 90.00°, γ = 90.00°
Space group F-43m (No. 216)
Asymmetric unit:
Ac 0.000 0.000 0.000
Ce 0.250 0.250 0.250
Pt 0.125 0.125 0.625

Computed properties:
* DFT formation energy: -1.0012 eV per atom

***

6.
DFT (PBE) results for an optimized crystal structure of ZrPtS.

a = 9.368 Å, b = 3.524 Å, c = 6.661 Å
α = 90.00°, β = 94.78°, γ = 90.00°
Space group Cm (No. 8)
Asymmetric unit:
Zr 0.000 0.000 0.000
Zr 0.191 0.000 0.519
Pt 0.240 0.500 0.218
Pt 0.466 0.000 0.336
S 0.038 0.500 0.697
S 0.281 0.000 0.918

Computed properties:
* E_form (uncorrected): -312 kJ/mol of formula units
* energy above the most stable polymorph in this dataset: 135 meV/atom

***

7.
DFT (PBE) results for an optimized crystal structure of FeAs3.

a = 3.076 Å, b = 3.457 Å, c = 6.640 Å
α = 90.00°, β = 90.00°, γ = 90.00°
Space group Pmm2 (No. 25)
Asymmetric unit:
Fe 0.000 0.000 0.000
As 0.000 0.500 0.511
As 0.500 0.000 0.285
As 0.500 0.500 0.859

Computed properties:
* DFT formation energy: 0.2428 eV per atom
* energy above the most stable polymorph in this dataset: 196 meV/atom

***

8.
DFT (PBE) results for an optimized crystal structure of NaMoH2S.

a = 3.637 Å, b = 3.637 Å, c = 7.068 Å
α = 90.00°, β = 90.00°, γ = 90.00°
Space group P4/mmm (No. 123)
Asymmetric unit:
Na 0.000 0.000 0.000
Mo 0.000 0.000 0.500
H 0.000 0.500 0.000
S 0.500 0.500 0.500

Computed properties:
* final energy: -18.4 eV for the cell shown

***

9.
DFT (PBE) results for an optimized crystal structure of Ce4TlGa.

a = 7.960 Å, b = 9.219 Å, c = 5.163 Å
α = 90.00°, β = 130.01°, γ = 90.00°
Space group C2/m (No. 12)
Asymmetric unit:
Ce 0.246 0.174 0.266
Tl 0.000 0.500 0.000
Ga 0.000 0.000 0.500

Computed properties:
* DFT formation energy: -0.1742 eV per atom
* energy above the most stable polymorph in this dataset: 82 meV/atom

***

10.
DFT (PBE) results for an optimized crystal structure of BaCdSnO4.

a = 6.584 Å, b = 7.012 Å, c = 10.294 Å
α = 90.00°, β = 90.00°, γ = 90.00°
Space group Imma (No. 74)
Asymmetric unit:
Ba 0.000 0.250 0.118
Cd 0.000 0.000 0.500
Sn 0.250 0.250 0.750
O 0.000 0.051 0.744
O 0.228 0.250 0.547

Computed properties:
* E_form (uncorrected): -1193 kJ/mol of formula units

***

11.
DFT (PBE) results for an optimized crystal structure of Tl2CdCu.

a = 6.585 Å, b = 7.895 Å, c = 3.711 Å
α = 90.00°, β = 92.45°, γ = 90.00°
Space group C2/m (No. 12)
Asymmetric unit:
Tl 0.250 0.250 0.000
Cd 0.000 0.000 0.500
Cu 0.000 0.500 0.500

Computed properties:
* DFT formation energy: 0.2681 eV per atom
* energy above the most stable polymorph in this dataset: 130 meV/atom

***

12.
DFT (PBE) results for an optimized crystal structure of Pr5Nd5Ho2.

a = 15.590 Å, b = 5.189 Å, c = 11.605 Å
α = 90.00°, β = 116.57°, γ = 90.00°
Space group C2/m (No. 12)
Asymmetric unit:
Pr 0.000 0.000 0.000
Pr 0.165 0.000 0.499
Pr 0.248 0.500 0.749
Nd 0.000 0.500 0.500
Nd 0.082 0.500 0.249
Nd 0.167 0.500 0.000
Ho 0.084 0.000 0.751

Computed properties:
* DFT formation energy: 0.0154 eV per atom

***

13.
DFT (PBE) results for an optimized crystal structure of Tm4Si2Sb.

a = 9.157 Å, b = 9.157 Å, c = 9.210 Å
α = 90.00°, β = 90.00°, γ = 90.00°
Space group I4_1/amd (No. 141, origin choice 2)
Asymmetric unit:
Tm 0.000 0.069 0.210
Si 0.000 0.000 0.500
Sb 0.000 0.250 0.875

Computed properties:
* E_form (uncorrected): -396 kJ/mol of formula units

***

14.
DFT (PBE) results for an optimized crystal structure of Na3Y2ScSe6.

a = 7.070 Å, b = 12.247 Å, c = 7.385 Å
α = 90.00°, β = 108.67°, γ = 90.00°
Space group C2/m (No. 12)
Asymmetric unit:
Na 0.000 0.000 0.000
Na 0.000 0.331 0.000
Y 0.000 0.166 0.500
Sc 0.000 0.500 0.500
Se 0.236 0.339 0.726
Se 0.246 0.500 0.275

Computed properties:
* E_form (uncorrected): -1930 kJ/mol of formula units

***

15.
DFT (PBE) results for an optimized crystal structure of CePmPa2.

a = 3.212 Å, b = 3.212 Å, c = 10.339 Å
α = 90.00°, β = 90.00°, γ = 90.00°
Space group P4/mmm (No. 123)
Asymmetric unit:
Ce 0.000 0.000 0.000
Pm 0.000 0.000 0.500
Pa 0.500 0.500 0.238

Computed properties:
* DFT formation energy: 0.1828 eV per atom
* energy above the most stable polymorph in this dataset: 0 meV/atom

***

16.
DFT (PBE) results for an optimized crystal structure of NbCu2Au.

a = 2.8324 Å, b = 2.8324 Å, c = 26.8841 Å
α = 90.00°, β = 90.00°, γ = 120.00°
Space group R3m (No. 160, hexagonal axes)
Asymmetric unit:
Nb 0.0000 0.0000 0.0000
Cu 0.0000 0.0000 0.5831
Cu 0.0000 0.0000 0.7505
Au 0.0000 0.0000 0.1670

Computed properties:
* DFT formation energy: 0.1041 eV per atom
* energy above the most stable polymorph in this dataset: 89 meV/atom

***

17.
DFT (PBE) results for an optimized crystal structure of LiAl3Ir2.

a = 7.0226 Å, b = 7.0226 Å, c = 2.8609 Å
α = 90.00°, β = 90.00°, γ = 120.00°
Space group P6/mmm (No. 191)
Asymmetric unit:
Li 0.0000 0.0000 0.0000
Al 0.0000 0.5000 0.0000
Ir 0.3333 0.6667 0.5000

Computed properties:
* DFT formation energy: -0.4285 eV per atom

***

18.
DFT (PBE) results for an optimized crystal structure of Mg2In2Ag.

a = 7.275 Å, b = 7.275 Å, c = 4.458 Å
α = 90.00°, β = 90.00°, γ = 90.00°
Space group P4/mbm (No. 127)
Asymmetric unit:
Mg 0.162 0.338 0.000
In 0.144 0.644 0.500
Ag 0.000 0.000 0.500

Computed properties:
* DFT formation energy: -0.0073 eV per atom
* energy above the most stable polymorph in this dataset: 69 meV/atom

***

19.
DFT (PBE) results for an optimized crystal structure of KSr2BPd.

a = 5.916 Å, b = 5.916 Å, c = 4.250 Å
α = 90.00°, β = 90.00°, γ = 90.00°
Space group P4/mmm (No. 123)
Asymmetric unit:
K 0.000 0.000 0.000
Sr 0.000 0.500 0.500
B 0.500 0.500 0.500
Pd 0.500 0.500 0.000

Computed properties:
* DFT formation energy: 0.1377 eV per atom